# TaCuSe3 PBE relaxed
# Raw formation energy (eV/atom): 0.205
# Space group: Pm-3m
data_TaCuSe3
_cell_length_a 5.028
_cell_length_b 5.028
_cell_length_c 5.028
_cell_angle_alpha 90.00
_cell_angle_beta 90.00
_cell_angle_gamma 90.00
_symmetry_space_group_name_H-M 'P 1'
_symmetry_Int_Tables_number 1
loop_
_symmetry_equiv_pos_as_xyz
'x,y,z'
loop_
_atom_site_label
_atom_site_type_symbol
_atom_site_fract_x
_atom_site_fract_y
_atom_site_fract_z
Cu1 Cu 0.500 0.500 0.500
Se1 Se 0.000 0.500 0.000
Se2 Se 0.000 0.000 0.500
Se3 Se 0.500 0.000 0.000
Ta1 Ta 0.000 0.000 0.000

---

# TbThGe2 PBE relaxed
# Energy of formation from the pure elements (kJ/mol of atoms): -59
# Space group: P4/mmm
data_TbThGe2
_cell_length_a 3.217
_cell_length_b 5.458
_cell_length_c 5.458
_cell_angle_alpha 90.00
_cell_angle_beta 90.00
_cell_angle_gamma 90.00
_symmetry_space_group_name_H-M 'P 1'
_symmetry_Int_Tables_number 1
loop_
_symmetry_equiv_pos_as_xyz
'x,y,z'
loop_
_atom_site_label
_atom_site_type_symbol
_atom_site_fract_x
_atom_site_fract_y
_atom_site_fract_z
Ge1 Ge 0.000 0.000 0.500
Ge2 Ge 0.000 0.500 0.000
Tb1 Tb 0.500 0.000 0.000
Th1 Th 0.500 0.500 0.500

---

# Nb4AlC2 PBE relaxed
# Energy of formation from the pure elements (kJ/mol of atoms): -44
# Space group: Cmcm
data_Nb4AlC2
_cell_length_a 3.304
_cell_length_b 5.576
_cell_length_c 11.338
_cell_angle_alpha 90.00
_cell_angle_beta 90.00
_cell_angle_gamma 107.23
_symmetry_space_group_name_H-M 'P 1'
_symmetry_Int_Tables_number 1
loop_
_symmetry_equiv_pos_as_xyz
'x,y,z'
loop_
_atom_site_label
_atom_site_type_symbol
_atom_site_fract_x
_atom_site_fract_y
_atom_site_fract_z
C1 C 0.135 0.271 0.439
C2 C 0.865 0.729 0.939
C3 C 0.135 0.271 0.061
C4 C 0.865 0.729 0.561
Nb1 Nb 0.762 0.524 0.107
Nb2 Nb 0.762 0.524 0.393
Nb3 Nb 0.238 0.476 0.893
Nb4 Nb 0.238 0.476 0.607
Nb5 Nb 0.916 0.832 0.750
Nb6 Nb 0.084 0.168 0.250
Nb7 Nb 0.500 0.000 0.000
Nb8 Nb 0.500 0.000 0.500
Al1 Al 0.608 0.216 0.750
Al2 Al 0.392 0.784 0.250

---

# RbRu2Rh PBE relaxed
# Energy of formation from the pure elements (kJ/mol of atoms): 155
# Space group: Fm-3m
data_RbRu2Rh
_cell_length_a 4.642
_cell_length_b 4.642
_cell_length_c 4.642
_cell_angle_alpha 60.00
_cell_angle_beta 60.00
_cell_angle_gamma 60.00
_symmetry_space_group_name_H-M 'P 1'
_symmetry_Int_Tables_number 1
loop_
_symmetry_equiv_pos_as_xyz
'x,y,z'
loop_
_atom_site_label
_atom_site_type_symbol
_atom_site_fract_x
_atom_site_fract_y
_atom_site_fract_z
Ru1 Ru 0.250 0.250 0.250
Ru2 Ru 0.750 0.750 0.750
Rh1 Rh 0.500 0.500 0.500
Rb1 Rb 0.000 0.000 0.000

---

# YVCu PBE relaxed
# Energy of formation from the pure elements (kJ/mol of atoms): 14
# Space group: Imm2
data_YVCu
_cell_length_a 3.816
_cell_length_b 4.124
_cell_length_c 14.731
_cell_angle_alpha 90.00
_cell_angle_beta 90.00
_cell_angle_gamma 90.00
_symmetry_space_group_name_H-M 'P 1'
_symmetry_Int_Tables_number 1
loop_
_symmetry_equiv_pos_as_xyz
'x,y,z'
loop_
_atom_site_label
_atom_site_type_symbol
_atom_site_fract_x
_atom_site_fract_y
_atom_site_fract_z
Y1 Y 0.000 0.500 0.170
Y2 Y 0.500 0.000 0.670
Y3 Y 0.000 0.500 0.831
Y4 Y 0.500 0.000 0.331
Cu1 Cu 0.000 0.000 0.499
Cu2 Cu 0.500 0.500 0.999
Cu3 Cu 0.000 0.500 0.390
Cu4 Cu 0.500 0.000 0.890
V1 V 0.000 0.000 0.001
V2 V 0.500 0.500 0.501
V3 V 0.000 0.500 0.602
V4 V 0.500 0.000 0.102

---

# CeTmTlNi PBE relaxed
# Energy of formation from the pure elements (kJ/mol of atoms): -14
# Space group: F-43m
data_CeTmTlNi
_cell_length_a 5.148
_cell_length_b 5.148
_cell_length_c 5.148
_cell_angle_alpha 60.00
_cell_angle_beta 60.00
_cell_angle_gamma 60.00
_symmetry_space_group_name_H-M 'P 1'
_symmetry_Int_Tables_number 1
loop_
_symmetry_equiv_pos_as_xyz
'x,y,z'
loop_
_atom_site_label
_atom_site_type_symbol
_atom_site_fract_x
_atom_site_fract_y
_atom_site_fract_z
Ni1 Ni 0.500 0.500 0.500
Tl1 Tl 0.000 0.000 0.000
Tm1 Tm 0.250 0.250 0.250
Ce1 Ce 0.750 0.750 0.750

---

# KCd6In3 PBE relaxed
# Energy of formation from the pure elements (kJ/mol of atoms): -1
# Space group: P2_1/c
data_KCd6In3
_cell_length_a 7.934
_cell_length_b 8.963
_cell_length_c 7.989
_cell_angle_alpha 108.50
_cell_angle_beta 90.00
_cell_angle_gamma 90.00
_symmetry_space_group_name_H-M 'P 1'
_symmetry_Int_Tables_number 1
loop_
_symmetry_equiv_pos_as_xyz
'x,y,z'
loop_
_atom_site_label
_atom_site_type_symbol
_atom_site_fract_x
_atom_site_fract_y
_atom_site_fract_z
K1 K 0.500 0.500 0.500
K2 K 0.000 0.000 0.000
Cd1 Cd 0.777 0.347 0.140
Cd2 Cd 0.943 0.332 0.469
Cd3 Cd 0.718 0.215 0.741
Cd4 Cd 0.282 0.785 0.259
Cd5 Cd 0.057 0.668 0.531
Cd6 Cd 0.223 0.653 0.860
Cd7 Cd 0.723 0.847 0.640
Cd8 Cd 0.557 0.832 0.969
Cd9 Cd 0.782 0.715 0.241
Cd10 Cd 0.218 0.285 0.759
Cd11 Cd 0.443 0.168 0.031
Cd12 Cd 0.277 0.153 0.360
In1 In 0.142 0.435 0.164
In2 In 0.500 0.500 0.000
In3 In 0.858 0.565 0.836
In4 In 0.358 0.935 0.664
In5 In 0.000 0.000 0.500
In6 In 0.642 0.065 0.336

---

# Pm4Nd2Er2Tm PBE relaxed
# Energy of formation from the pure elements (kJ/mol of atoms): 2
# Space group: C2/m
data_Pm4Nd2Er2Tm
_cell_length_a 5.112
_cell_length_b 8.087
_cell_length_c 8.037
_cell_angle_alpha 107.59
_cell_angle_beta 90.00
_cell_angle_gamma 108.42
_symmetry_space_group_name_H-M 'P 1'
_symmetry_Int_Tables_number 1
loop_
_symmetry_equiv_pos_as_xyz
'x,y,z'
loop_
_atom_site_label
_atom_site_type_symbol
_atom_site_fract_x
_atom_site_fract_y
_atom_site_fract_z
Pm1 Pm 0.779 0.557 0.670
Pm2 Pm 0.221 0.443 0.330
Pm3 Pm 0.555 0.111 0.330
Pm4 Pm 0.445 0.889 0.670
Nd1 Nd 0.888 0.777 0.330
Nd2 Nd 0.112 0.223 0.670
Er1 Er 0.334 0.667 0.000
Er2 Er 0.666 0.333 0.000
Tm1 Tm 0.000 0.000 0.000

---

# AcPm2Tl PBE relaxed
# Energy of formation from the pure elements (kJ/mol of atoms): 3
# Space group: R3m
data_AcPm2Tl
_cell_length_a 5.380
_cell_length_b 5.380
_cell_length_c 6.695
_cell_angle_alpha 66.31
_cell_angle_beta 66.31
_cell_angle_gamma 60.00
_symmetry_space_group_name_H-M 'P 1'
_symmetry_Int_Tables_number 1
loop_
_symmetry_equiv_pos_as_xyz
'x,y,z'
loop_
_atom_site_label
_atom_site_type_symbol
_atom_site_fract_x
_atom_site_fract_y
_atom_site_fract_z
Ac1 Ac 0.491 0.491 0.527
Pm1 Pm 0.042 0.042 0.873
Pm2 Pm 0.273 0.273 0.180
Tl1 Tl 0.693 0.693 0.920

---

# TiAg2Se3 PBE relaxed
# Raw formation energy (eV/atom): -0.420
# Space group: Immm
data_TiAg2Se3
_cell_length_a 3.746
_cell_length_b 5.276
_cell_length_c 7.233
_cell_angle_alpha 111.39
_cell_angle_beta 105.01
_cell_angle_gamma 90.00
_symmetry_space_group_name_H-M 'P 1'
_symmetry_Int_Tables_number 1
loop_
_symmetry_equiv_pos_as_xyz
'x,y,z'
loop_
_atom_site_label
_atom_site_type_symbol
_atom_site_fract_x
_atom_site_fract_y
_atom_site_fract_z
Ti1 Ti 0.000 0.500 0.000
Ag1 Ag 0.670 0.170 0.339
Ag2 Ag 0.330 0.830 0.661
Se1 Se 0.357 0.357 0.713
Se2 Se 0.000 0.000 0.000
Se3 Se 0.643 0.643 0.287

---

# NiBiBr3 PBE relaxed
# Raw formation energy (eV/atom): -0.048
# Space group: Pm-3m
data_NiBiBr3
_cell_length_a 4.952
_cell_length_b 4.952
_cell_length_c 4.952
_cell_angle_alpha 90.00
_cell_angle_beta 90.00
_cell_angle_gamma 90.00
_symmetry_space_group_name_H-M 'P 1'
_symmetry_Int_Tables_number 1
loop_
_symmetry_equiv_pos_as_xyz
'x,y,z'
loop_
_atom_site_label
_atom_site_type_symbol
_atom_site_fract_x
_atom_site_fract_y
_atom_site_fract_z
Ni1 Ni 0.000 0.000 0.000
Bi1 Bi 0.500 0.500 0.500
Br1 Br 0.000 0.500 0.000
Br2 Br 0.000 0.000 0.500
Br3 Br 0.500 0.000 0.000

---

# LaEu2Dy PBE relaxed
# Energy of formation from the pure elements (kJ/mol of atoms): 10
# Space group: P4/mmm
data_LaEu2Dy
_cell_length_a 3.722
_cell_length_b 3.722
_cell_length_c 10.689
_cell_angle_alpha 90.00
_cell_angle_beta 90.00
_cell_angle_gamma 90.00
_symmetry_space_group_name_H-M 'P 1'
_symmetry_Int_Tables_number 1
loop_
_symmetry_equiv_pos_as_xyz
'x,y,z'
loop_
_atom_site_label
_atom_site_type_symbol
_atom_site_fract_x
_atom_site_fract_y
_atom_site_fract_z
Eu1 Eu 0.000 0.000 0.758
Eu2 Eu 0.000 0.000 0.242
La1 La 0.500 0.500 0.500
Dy1 Dy 0.500 0.500 0.000

---

| no. | DOS at the Fermi energy (states/eV/f.u.) | total magnetic moment (μB/f.u.) |
| --- | --- | --- |
| 1 | 3.26 | 0.0 |
| 2 | 2.35 | 0.1 |
| 3 | 3.42 | 0.0 |
| 4 | 5.91 | 2.7 |
| 5 | 2.61 | 0.3 |
| 6 | 6.15 | 0.5 |
| 7 | 3.44 | 0.0 |
| 8 | 14.24 | 0.0 |
| 9 | 5.70 | 0.0 |
| 10 | 2.63 | 0.3 |
| 11 | 3.38 | 0.0 |
| 12 | 4.57 | 15.2 |